[1]
SmH4IrAu2: optimized geometry, GGA-PBE.

Lattice parameters (Å, degrees): 5.732 6.101 4.945 125.82 122.35 93.08
Fractional positions:
Ir 0.711 0.712 0.479
Au 0.572 0.096 0.964
Au 0.220 0.223 0.462
H 0.028 0.665 0.673
H 0.501 0.517 0.501
H 0.923 0.908 0.477
H 0.465 0.810 0.253
Sm 0.967 0.456 0.964

Summary:
- total magnetic moment (μB/atom) = 0.00
- calculated total energy (Ha/atom) = -0.16381

[2]
Sr2HIrAu: optimized geometry, GGA-PBE.

Lattice parameters (Å, degrees): 5.381 5.381 3.663 90.00 90.00 90.00
Fractional positions:
Ir 0.000 0.000 0.500
Sr 0.000 0.500 0.000
Sr 0.500 0.000 0.000
Au 0.500 0.500 0.500
H 0.000 0.000 0.000

Summary:
- total magnetic moment (μB/atom) = 0.02
- calculated total energy (Ha/atom) = -0.15434